1.
{
  "formula": "Sm5BiP4",
  "functional": "GGA-PBE",
  "state": "relaxed",
  "cell": [[-1.702, -3.139, -2.109], [-2.988, -4.442, 4.944], [-9.147, 2.258, -0.056]],
  "species": ["Sm", "Sm", "Sm", "Sm", "Sm", "Bi", "P", "P", "P", "P"],
  "frac_coords": [[0.207, 0.903, 0.683], [0.793, 0.097, 0.317], [0.389, 0.335, 0.886], [0.000, 0.500, 0.500], [0.611, 0.665, 0.114], [0.000, 0.000, 0.000], [0.597, 0.205, 0.601], [0.203, 0.389, 0.206], [0.797, 0.611, 0.794], [0.403, 0.795, 0.399]],
  "dos_ef_per_ev_cell": 2.0,
  "formation_enthalpy_0k_kj_per_mol_atoms": -135,
  "e_tot_ev_per_atom": -6.32
}



2.
{
  "formula": "Cs4Dy3TlO8",
  "functional": "GGA-PBE",
  "state": "relaxed",
  "cell": [[7.136, 0.000, 0.000], [0.000, 8.005, 0.593], [-3.568, -3.555, 5.056]],
  "species": ["Cs", "Cs", "Cs", "Cs", "Dy", "Dy", "Dy", "Tl", "O", "O", "O", "O", "O", "O", "O", "O"],
  "frac_coords": [[0.500, 0.000, 0.000], [0.500, 0.000, 0.500], [0.000, 0.000, 0.000], [0.000, 0.000, 0.500], [0.500, 0.500, 0.000], [0.500, 0.500, 0.500], [0.000, 0.500, 0.500], [0.000, 0.500, 0.000], [0.228, 0.670, 0.942], [0.228, 0.670, 0.456], [0.279, 0.337, 0.558], [0.714, 0.670, 0.942], [0.286, 0.330, 0.058], [0.721, 0.663, 0.442], [0.772, 0.330, 0.544], [0.772, 0.330, 0.058]],
  "e_tot_ev_per_atom": -5.88
}



3.
{
  "formula": "Y5ErMg",
  "functional": "GGA-PBE",
  "state": "relaxed",
  "cell": [[-3.697, 3.616, 3.596], [-5.339, 2.233, -2.485], [-7.169, -9.712, 4.145]],
  "species": ["Y", "Y", "Y", "Y", "Y", "Y", "Y", "Y", "Y", "Y", "Er", "Er", "Mg", "Mg"],
  "frac_coords": [[0.821, 0.680, 0.168], [0.280, 0.393, 0.567], [0.680, 0.821, 0.668], [0.293, 0.707, 0.250], [0.607, 0.720, 0.933], [0.393, 0.280, 0.067], [0.707, 0.293, 0.750], [0.320, 0.179, 0.332], [0.720, 0.607, 0.433], [0.179, 0.320, 0.832], [0.000, 0.000, 0.000], [0.000, 0.000, 0.500], [0.803, 0.197, 0.250], [0.197, 0.803, 0.750]],
  "dos_ef_per_ev_cell": 23.1,
  "formation_enthalpy_0k_kj_per_mol_atoms": 14,
  "de_polymorph_mev_per_atom": 0,
  "e_tot_ev_per_atom": -5.35
}



4.
{
  "formula": "Re2TcAs",
  "functional": "GGA-PBE",
  "state": "relaxed",
  "cell": [[4.826, 0.013, 0.000], [-2.188, 4.302, 0.000], [0.000, 0.000, 2.911]],
  "species": ["Re", "Re", "As", "Tc"],
  "frac_coords": [[0.000, 0.000, 0.000], [0.500, 0.500, 0.000], [0.000, 0.500, 0.500], [0.500, 0.000, 0.500]],
  "dos_ef_per_ev_cell": 4.1,
  "formation_enthalpy_0k_kj_per_mol_atoms": 40,
  "e_tot_ev_per_atom": -9.57
}



5.
{
  "formula": "La2Si7Ru12",
  "functional": "GGA-PBE",
  "state": "relaxed",
  "cell": [[3.974, 0.000, 0.000], [0.000, 8.397, -4.848], [0.000, 0.000, 9.696]],
  "species": ["La", "La", "Si", "Si", "Si", "Si", "Si", "Si", "Si", "Ru", "Ru", "Ru", "Ru", "Ru", "Ru", "Ru", "Ru", "Ru", "Ru", "Ru", "Ru"],
  "frac_coords": [[0.500, 0.000, 0.000], [0.000, 0.667, 0.333], [0.000, 0.333, 0.667], [0.000, 0.042, 0.774], [0.000, 0.732, 0.958], [0.000, 0.226, 0.268], [0.500, 0.627, 0.568], [0.500, 0.942, 0.373], [0.500, 0.432, 0.058], [0.500, 0.902, 0.616], [0.500, 0.714, 0.098], [0.500, 0.384, 0.286], [0.500, 0.234, 0.774], [0.500, 0.540, 0.766], [0.500, 0.226, 0.460], [0.000, 0.060, 0.541], [0.000, 0.481, 0.940], [0.000, 0.459, 0.519], [0.000, 0.765, 0.727], [0.000, 0.962, 0.235], [0.000, 0.273, 0.038]],
  "dos_ef_per_ev_cell": 22.4,
  "e_tot_ev_per_atom": -8.14
}



6.
{
  "formula": "Pa2GaRh5",
  "functional": "GGA-PBE",
  "state": "relaxed",
  "cell": [[-2.570, -2.948, -0.756], [7.251, -3.251, -1.486], [0.718, -3.474, 11.104]],
  "species": ["Pa", "Pa", "Pa", "Pa", "Ga", "Ga", "Rh", "Rh", "Rh", "Rh", "Rh", "Rh", "Rh", "Rh", "Rh", "Rh"],
  "frac_coords": [[0.869, 0.737, 0.415], [0.869, 0.737, 0.085], [0.131, 0.263, 0.585], [0.131, 0.263, 0.915], [0.854, 0.708, 0.750], [0.146, 0.292, 0.250], [0.989, 0.978, 0.877], [0.989, 0.978, 0.623], [0.250, 0.501, 0.416], [0.250, 0.501, 0.084], [0.756, 0.512, 0.250], [0.244, 0.488, 0.750], [0.750, 0.499, 0.584], [0.750, 0.499, 0.916], [0.011, 0.022, 0.123], [0.011, 0.022, 0.377]],
  "dos_ef_per_ev_cell": 6.6,
  "formation_enthalpy_0k_kj_per_mol_atoms": -33,
  "e_tot_ev_per_atom": -7.69
}



7.
{
  "formula": "Bi2TeO6",
  "functional": "GGA-PBE",
  "state": "relaxed",
  "cell": [[5.832, 0.000, -0.018], [0.000, 6.302, 0.000], [-0.743, 0.000, 7.664]],
  "species": ["Bi", "Bi", "Bi", "Bi", "Te", "Te", "O", "O", "O", "O", "O", "O", "O", "O", "O", "O", "O", "O"],
  "frac_coords": [[0.999, 0.434, 0.744], [0.501, 0.934, 0.756], [0.499, 0.066, 0.244], [0.001, 0.566, 0.256], [0.500, 0.500, 0.000], [0.000, 0.000, 0.500], [0.862, 0.945, 0.262], [0.900, 0.712, 0.555], [0.793, 0.623, 0.949], [0.707, 0.123, 0.551], [0.600, 0.212, 0.945], [0.638, 0.445, 0.238], [0.138, 0.055, 0.738], [0.100, 0.288, 0.445], [0.207, 0.377, 0.051], [0.293, 0.877, 0.449], [0.400, 0.788, 0.055], [0.362, 0.555, 0.762]],
  "dos_ef_per_ev_cell": 0.0,
  "e_tot_ev_per_atom": -5.67
}



8.
{
  "formula": "CaGaAs2Br",
  "functional": "GGA-PBE",
  "state": "relaxed",
  "cell": [[5.599, 0.000, 0.000], [0.000, 5.599, 0.000], [0.000, 0.000, 5.601]],
  "species": ["As", "As", "Ca", "Ga", "Br"],
  "frac_coords": [[0.000, 0.500, 0.000], [0.500, 0.000, 0.000], [0.000, 0.000, 0.000], [0.500, 0.500, 0.500], [0.000, 0.000, 0.500]],
  "dos_ef_per_ev_cell": 3.2,
  "de_polymorph_mev_per_atom": 451,
  "e_tot_ev_per_atom": -3.01
}



9.
{
  "formula": "Pa2Co5NiB2",
  "functional": "GGA-PBE",
  "state": "relaxed",
  "cell": [[3.263, 0.000, 0.000], [0.000, 8.708, 0.000], [0.000, 0.000, 8.708]],
  "species": ["Pa", "Pa", "Pa", "Pa", "Co", "Co", "Co", "Co", "Co", "Co", "Co", "Co", "Co", "Co", "Ni", "Ni", "B", "B", "B", "B"],
  "frac_coords": [[0.000, 0.683, 0.183], [0.000, 0.317, 0.817], [0.000, 0.183, 0.317], [0.000, 0.817, 0.683], [0.500, 0.224, 0.068], [0.500, 0.776, 0.932], [0.500, 0.068, 0.776], [0.500, 0.724, 0.432], [0.500, 0.932, 0.224], [0.500, 0.276, 0.568], [0.500, 0.568, 0.724], [0.500, 0.432, 0.276], [0.500, 0.500, 0.000], [0.500, 0.000, 0.500], [0.000, 0.000, 0.000], [0.000, 0.500, 0.500], [0.000, 0.114, 0.614], [0.000, 0.886, 0.386], [0.000, 0.614, 0.886], [0.000, 0.386, 0.114]],
  "dos_ef_per_ev_cell": 7.4,
  "formation_enthalpy_0k_kj_per_mol_atoms": -35,
  "e_tot_ev_per_atom": -7.73
}



10.
{
  "formula": "CuNiRu",
  "functional": "GGA-PBE",
  "state": "relaxed",
  "cell": [[4.504, 0.000, 0.002], [0.000, 7.790, 0.000], [-1.448, 0.000, 4.223]],
  "species": ["Cu", "Cu", "Cu", "Cu", "Ni", "Ni", "Ni", "Ni", "Ru", "Ru", "Ru", "Ru"],
  "frac_coords": [[0.000, 0.664, 0.000], [0.000, 0.336, 0.000], [0.000, 0.164, 0.500], [0.000, 0.836, 0.500], [0.500, 0.000, 0.500], [0.500, 0.500, 0.000], [0.000, 0.000, 0.000], [0.000, 0.500, 0.500], [0.500, 0.665, 0.500], [0.500, 0.335, 0.500], [0.500, 0.165, 0.000], [0.500, 0.835, 0.000]],
  "dos_ef_per_ev_cell": 14.5,
  "formation_enthalpy_0k_kj_per_mol_atoms": 14,
  "de_polymorph_mev_per_atom": 17,
  "e_tot_ev_per_atom": -6.23
}



11.
{
  "formula": "CuRh2",
  "functional": "GGA-PBE",
  "state": "relaxed",
  "cell": [[-0.049, 2.247, 1.494], [-2.142, -0.670, -1.500], [-2.437, -3.367, 4.984]],
  "species": ["Rh", "Rh", "Cu"],
  "frac_coords": [[0.333, 0.667, 0.669], [0.667, 0.333, 0.331], [0.000, 0.000, 0.000]],
  "dos_ef_per_ev_cell": 2.9,
  "formation_enthalpy_0k_kj_per_mol_atoms": 4,
  "de_polymorph_mev_per_atom": 0,
  "e_tot_ev_per_atom": -6.22
}



Copy entry 1 word for word.
{
  "formula": "Sm5BiP4",
  "functional": "GGA-PBE",
  "state": "relaxed",
  "cell": [[-1.702, -3.139, -2.109], [-2.988, -4.442, 4.944], [-9.147, 2.258, -0.056]],
  "species": ["Sm", "Sm", "Sm", "Sm", "Sm", "Bi", "P", "P", "P", "P"],
  "frac_coords": [[0.207, 0.903, 0.683], [0.793, 0.097, 0.317], [0.389, 0.335, 0.886], [0.000, 0.500, 0.500], [0.611, 0.665, 0.114], [0.000, 0.000, 0.000], [0.597, 0.205, 0.601], [0.203, 0.389, 0.206], [0.797, 0.611, 0.794], [0.403, 0.795, 0.399]],
  "dos_ef_per_ev_cell": 2.0,
  "formation_enthalpy_0k_kj_per_mol_atoms": -135,
  "e_tot_ev_per_atom": -6.32
}



Please write out number 8 again, unchanged.
{
  "formula": "CaGaAs2Br",
  "functional": "GGA-PBE",
  "state": "relaxed",
  "cell": [[5.599, 0.000, 0.000], [0.000, 5.599, 0.000], [0.000, 0.000, 5.601]],
  "species": ["As", "As", "Ca", "Ga", "Br"],
  "frac_coords": [[0.000, 0.500, 0.000], [0.500, 0.000, 0.000], [0.000, 0.000, 0.000], [0.500, 0.500, 0.500], [0.000, 0.000, 0.500]],
  "dos_ef_per_ev_cell": 3.2,
  "de_polymorph_mev_per_atom": 451,
  "e_tot_ev_per_atom": -3.01
}



What is the formula in the eighth record? CaGaAs2Br